Record 1
DFT (PBE) results for FeTc2Ag after structural relaxation.

As for the distance to the lowest polymorph of the same formula: 0.054 eV per formula unit. The calculation puts the total magnetic moment at 4.57 μB/cell. The calculation puts the calculated total energy at -92.2 eV for the cell shown. For the energy of formation from the pure elements, the calculation gives 331 meV per atom.

The structure belongs to space group R-3m (No. 166, hexagonal axes); the cell edges are 2.7154, 2.7154 and 27.3312 Å and the angles 90.00°, 90.00° and 120.00°. The distinct sites, in fractional coordinates, are Fe at (0.0000, 0.0000, 0.0000), Tc at (0.0000, 0.0000, 0.2586) and Ag at (0.0000, 0.0000, 0.5000).

Record 2
DFT (PBE) results for CoTe2Ir after structural relaxation.

As for the distance to the lowest polymorph of the same formula: 0.219 eV per formula unit. The calculation puts the total magnetic moment at 0.00 μB/cell. The uncorrected formation energy comes out at 0.084 eV per atom. The calculation puts the calculated total energy at -43.8 eV for the cell shown.

The structure belongs to space group Amm2 (No. 38); the cell edges are 4.254, 5.081 and 7.530 Å and the angles 90.00°, 90.00° and 90.00°. The distinct sites, in fractional coordinates, are Co at (0.000, 0.000, 0.000), Te at (0.000, 0.000, 0.398), Te at (0.500, 0.000, 0.807) and Ir at (0.500, 0.000, 0.183).

Record 3
DFT (PBE) results for Rb2VBr6Cl after structural relaxation.

As for the distance to the lowest polymorph of the same formula: 0.000 eV per formula unit. The calculation puts the total magnetic moment at 0.00 μB/cell. The uncorrected formation energy comes out at -1.065 eV per atom. The calculation puts the calculated total energy at -33.6 eV for the cell shown.

The structure belongs to space group P1 (No. 1); the cell edges are 6.594, 7.127 and 8.472 Å and the angles 73.15°, 84.28° and 87.17°. The distinct sites, in fractional coordinates, are Rb at (0.000, 0.000, 0.000), Rb at (0.478, 0.353, 0.265), V at (0.642, 0.742, 0.687), Br at (0.328, 0.903, 0.587), Br at (0.462, 0.436, 0.809), Br at (0.503, 0.825, 0.984), Br at (0.764, 0.668, 0.438), Br at (0.792, 0.061, 0.614), Br at (0.933, 0.602, 0.834) and Cl at (0.990, 0.274, 0.235).

Record 4
DFT (PBE) results for TbEr2W after structural relaxation.

The calculation puts the total magnetic moment at 0.00 μB/cell. The calculation puts the calculated total energy at -74.4 eV for the cell shown. For the energy of formation from the pure elements, the calculation gives 477 meV per atom.

The structure belongs to space group R-3m (No. 166, hexagonal axes); the cell edges are 5.2690, 5.2690 and 12.2630 Å and the angles 90.00°, 90.00° and 120.00°. The distinct sites, in fractional coordinates, are Tb at (0.0000, 0.0000, 0.0000), Er at (0.0000, 0.0000, 0.2552) and W at (0.0000, 0.0000, 0.5000).

Which of these has the highest total magnetic moment? FeTc2Ag

Among the records above, which one has the highest calculated total energy? Rb2VBr6Cl